# 1
# Ta8Nb2Ru

A relaxed structure of Ta8Nb2Ru (PBE, Alexandria via LeMat-Bulk).

Unit cell a=14.331 b=5.365 c=5.361 alpha=90.00 beta=101.42 gamma=90.00
Space group C2/m (No. 12)
Unique sites:
Ta (0.000, 0.000, 0.244) (multiplicity 4)
Ta (0.102, 0.500, 0.045) (multiplicity 4)
Ta (0.161, 0.249, 0.573) (multiplicity 8)
Nb (0.194, 0.000, 0.068) (multiplicity 4)
Ru (0.000, 0.500, 0.500) (multiplicity 2)

For the mass density, the calculation gives 14.257 Mg/m³. The energy above the lowest structure with this stoichiometry comes out at 0 meV/atom. The magnetization comes out at 0.000 μB per formula unit. The value obtained for the raw total energy is -247.09 eV per cell. The value obtained for the formation energy is 0.06 eV per atom.



# 2
# KRbTl

A relaxed structure of KRbTl (PBE, Alexandria via LeMat-Bulk).

Unit cell a=5.368 b=7.426 c=9.342 alpha=79.16 beta=73.43 gamma=89.93
Space group P-1 (No. 2)
Unique sites:
K (0.084, 0.293, 0.335) (multiplicity 2)
Rb (0.347, 0.158, 0.805) (multiplicity 2)
Tl (0.268, 0.604, 0.964) (multiplicity 2)

For the mass density, the calculation gives 3.121 Mg/m³. The energy above the lowest structure with this stoichiometry comes out at 1 meV/atom. The magnetization comes out at 0.000 μB per formula unit. The value obtained for the raw total energy is -9.19 eV per cell. The value obtained for the formation energy is -0.05 eV per atom.



# 3
# Ce5CoSb2

A relaxed structure of Ce5CoSb2 (PBE, Alexandria via LeMat-Bulk).

Unit cell a=7.739 b=12.315 c=4.551 alpha=90.00 beta=90.00 gamma=90.00
Space group Pbam (No. 55)
Unique sites:
Ce (0.000, 0.000, 0.000) (multiplicity 2)
Ce (0.105, 0.315, 0.000) (multiplicity 4)
Ce (0.220, 0.555, 0.500) (multiplicity 4)
Co (0.000, 0.500, 0.000) (multiplicity 2)
Sb (0.099, 0.819, 0.500) (multiplicity 4)

For the mass density, the calculation gives 7.681 Mg/m³. The energy above the lowest structure with this stoichiometry comes out at 0 meV/atom. The magnetization comes out at 4.044 μB per formula unit. The value obtained for the raw total energy is -99.97 eV per cell. The calculation puts the uncorrected formation energy at -0.620 eV/atom.